No. 1
Material: Nd2CuO4
Method: DFT, PBEsol
State: relaxed

The calculation puts the theoretical density at 7.71 g/cm³. The density of states at the Fermi level comes out at 1.2 states/eV/f.u. The excess energy over the best structure of this formula in the dataset comes out at 0.062 eV/atom. The formation energy (no corrections) is -2.553 eV/atom.

It has space group Cmce (No. 64), with a = 5.1684 Å, b = 12.6635 Å, c = 5.4786 Å, α = 90.00°, β = 90.00° and γ = 90.00°. The inequivalent atoms are Nd at (0.0000, 0.1382, 0.0171), Cu at (0.0000, 0.0000, 0.5000), O at (0.0000, 0.1854, 0.4339) and O at (0.2500, 0.0144, 0.7500).

---

No. 2
Material: TlRe2Au
Method: DFT, PBEsol
State: relaxed

The calculation puts the theoretical density at 19.25 g/cm³. The density of states at the Fermi level comes out at 2.8 states/eV/f.u. The excess energy over the best structure of this formula in the dataset comes out at 0.000 eV/atom.

It has space group Cm (No. 8), with a = 9.3406 Å, b = 2.8695 Å, c = 5.0313 Å, α = 90.00°, β = 98.10° and γ = 90.00°. The inequivalent atoms are Tl at (0.0000, 0.0000, 0.0000), Re at (0.2562, 0.5000, 0.3011), Re at (0.4921, 0.0000, 0.4834) and Au at (0.2425, 0.0000, 0.7655).

---

No. 3
Material: KCuCl3
Method: DFT, PBEsol
State: relaxed

The calculation puts the theoretical density at 3.25 g/cm³. The density of states at the Fermi level comes out at 1.4 states/eV/f.u. The formation energy (no corrections) is -1.101 eV/atom.

It has space group Pm-3m (No. 221), with a = 4.7452 Å, b = 4.7452 Å, c = 4.7452 Å, α = 90.00°, β = 90.00° and γ = 90.00°. The inequivalent atoms are K at (0.0000, 0.0000, 0.0000), Cu at (0.5000, 0.5000, 0.5000) and Cl at (0.0000, 0.5000, 0.5000).

---

No. 4
Material: Si5Ir
Method: DFT, PBEsol
State: relaxed

The calculation puts the theoretical density at 6.71 g/cm³. The density of states at the Fermi level comes out at 2.4 states/eV/f.u. The formation energy (no corrections) is 0.192 eV/atom.

It has space group P-62m (No. 189), with a = 4.4807 Å, b = 4.4807 Å, c = 4.7360 Å, α = 90.00°, β = 90.00° and γ = 120.00°. The inequivalent atoms are Si at (0.0000, 0.6710, 0.0000), Si at (0.3333, 0.6667, 0.5000) and Ir at (0.0000, 0.0000, 0.5000).

---

Which of these has the lowest theoretical density? KCuCl3